VASP calculation (PBE) on an optimized crystal structure of GaGeRh.

Properties
Fermi-level density of states   0.51 states/eV per atom
Symmetry   F-43m, No. 216
Excess energy over the best structure of this formula in the dataset   15.5 meV per atom
Energy relative to the elements   -112 kJ/mol of formula units

Cell lengths 4.2008, 4.2008, 4.2008 Å; angles 60.00, 60.00, 60.00 degrees
With the nearest neighbours (Å) after each atom.
Atoms (fractional coordinates):
Ge 0.5000 0.5000 0.5000  4 Rh 2.57
Rh 0.2500 0.2500 0.2500  4 Ge 2.57, 4 Ga 2.57
Ga 0.0000 0.0000 0.0000  4 Rh 2.57

=====

VASP calculation (PBE) on an optimized crystal structure of TiOF2.

Properties
Fermi-level density of states   0.00 states/eV per atom
Energy relative to the elements, uncorrected   -3.1188 eV per atom
Symmetry   C2, No. 5
Excess energy over the best structure of this formula in the dataset   83.2 meV per atom

Cell lengths 3.0994, 3.8043, 5.3316 Å; angles 110.84, 106.78, 90.00 degrees
With the nearest neighbours (Å) after each atom.
Atoms (fractional coordinates):
Ti 0.5000 0.0475 0.0000  1 O 1.69
F 0.8691 0.8660 0.7361  2 Ti 2.00
F 0.1310 0.1295 0.2638  2 Ti 2.00
O 0.5000 0.4929 0.0001  1 Ti 1.69

=====

| no. | magnetic moment (μB/f.u.) |
| --- | --- |
| 1 | 0.00 |
| 2 | 0.00 |